Entry 1:
# Cu2Ag7

Crystalline Cu2Ag7 at its relaxed geometry (PBE-GGA, the Open Quantum Materials Database).

The structure in extended XYZ format:
```
9
Lattice="-0.532 -0.057 4.960 -0.702 -4.179 -2.632 6.782 -1.587 0.709" Properties=species:S:1:pos:R:3 pbc="T T T"
Ag 1.780 -1.947 1.017
Cu -0.589 -1.431 2.429
Ag 1.733 -3.280 -1.512
Ag 1.846 -0.552 3.512
Ag 4.404 -1.092 2.157
Ag 4.347 -2.486 -0.411
Ag 3.767 -3.876 2.020
Cu -0.646 -2.805 -0.102
Ag 0.000 0.000 0.000
```

Summary:
The energy above the lowest structure with this stoichiometry comes out at 39 meV per atom. For the formation energy, the calculation gives 0.59 eV/f.u. As for the space group: P-31m.

Entry 2:
# CuAg2

Crystalline CuAg2 at its relaxed geometry (PBE-GGA, the Open Quantum Materials Database).

The structure in extended XYZ format:
```
9
Lattice="-2.604 -1.146 -0.293 2.294 -1.393 -0.989 2.087 -9.343 17.995" Properties=species:S:1:pos:R:3 pbc="T T T"
Cu 2.552 -9.776 15.550
Cu -0.776 -2.104 1.163
Ag 0.696 -8.694 13.856
Ag 1.080 -3.186 2.856
Ag 1.417 -6.345 12.221
Cu 0.000 0.000 0.000
Ag -0.053 -5.341 7.398
Ag 1.829 -6.539 9.315
Ag 0.670 -2.997 5.773
```

Summary:
The energy above the lowest structure with this stoichiometry comes out at 37 meV per atom. For the formation energy, the calculation gives 0.20 eV/f.u. As for the space group: P-3m1.

Entry 3:
# Cu7Ag2

Crystalline Cu7Ag2 at its relaxed geometry (PBE-GGA, the Open Quantum Materials Database).

The structure in extended XYZ format:
```
9
Lattice="6.691 -1.366 0.000 6.691 1.366 0.000 -3.782 0.000 6.497" Properties=species:S:1:pos:R:3 pbc="T T T"
Ag 6.085 0.000 2.245
Cu 0.711 0.000 6.445
Cu 7.896 0.000 4.341
Cu 0.000 0.000 0.000
Cu -0.892 0.000 4.547
Cu 8.889 0.000 0.052
Ag 3.516 0.000 4.252
Cu 1.705 0.000 2.157
Cu 10.493 0.000 1.950
```

Summary:
The energy above the lowest structure with this stoichiometry comes out at 28 meV per atom. For the formation energy, the calculation gives 0.67 eV/f.u. As for the space group: C2/m.

Entry 4:
# Cu5Ag3

Crystalline Cu5Ag3 at its relaxed geometry (PBE-GGA, the Open Quantum Materials Database).

The structure in extended XYZ format:
```
8
Lattice="-0.583 0.374 8.926 -1.379 -2.219 8.563 4.484 -1.383 0.053" Properties=species:S:1:pos:R:3 pbc="T T T"
Ag 2.242 -0.692 0.027
Ag -1.178 -1.771 15.237
Cu 1.816 -2.405 13.201
Cu 0.456 -1.686 11.052
Ag 3.700 -1.458 2.306
Cu 2.066 -1.542 6.491
Cu -0.981 -0.923 8.745
Cu 0.706 -0.824 4.341
```

Summary:
The energy above the lowest structure with this stoichiometry comes out at 50 meV per atom. For the formation energy, the calculation gives 0.77 eV/f.u. As for the space group: C2/m.

Entry 5:
# Cu3Ag7

Crystalline Cu3Ag7 at its relaxed geometry (PBE-GGA, the Open Quantum Materials Database).

The structure in extended XYZ format:
```
10
Lattice="2.873 0.000 0.000 0.000 2.873 0.000 0.000 0.000 19.404" Properties=species:S:1:pos:R:3 pbc="T T T"
Ag 1.436 1.436 13.628
Ag 0.000 0.000 15.787
Ag 1.436 1.436 1.502
Ag 1.436 1.436 5.763
Ag 0.000 0.000 3.640
Ag 1.436 1.436 10.008
Cu 0.000 0.000 19.080
Cu 1.436 1.436 17.622
Ag 0.000 0.000 7.881
Cu 0.000 0.000 11.813
```

Summary:
The energy above the lowest structure with this stoichiometry comes out at 18 meV per atom. For the formation energy, the calculation gives 0.47 eV/f.u. As for the space group: P4mm.

Entry 6:
# Cu8Ag

Crystalline Cu8Ag at its relaxed geometry (PBE-GGA, the Open Quantum Materials Database).

The structure in extended XYZ format:
```
9
Lattice="-5.224 0.244 4.428 -3.279 -0.613 5.985 4.268 6.114 -1.965" Properties=species:S:1:pos:R:3 pbc="T T T"
Cu -7.367 0.580 9.517
Ag -2.117 2.873 4.224
Cu 0.676 2.998 0.805
Cu -4.910 2.748 7.642
Cu 0.237 4.933 2.418
Cu 3.132 5.165 -1.069
Cu -1.639 0.887 2.534
Cu -4.471 0.813 6.029
Cu -2.595 4.858 5.913
```

Summary:
The energy above the lowest structure with this stoichiometry comes out at 11 meV per atom. For the formation energy, the calculation gives 0.43 eV/f.u. As for the space group: C2/m.

Entry 7:
# Cu3Ag7

Crystalline Cu3Ag7 at its relaxed geometry (PBE-GGA, the Open Quantum Materials Database).

The structure in extended XYZ format:
```
10
Lattice="4.747 -1.442 0.000 4.747 1.442 0.000 -2.173 0.000 11.881" Properties=species:S:1:pos:R:3 pbc="T T T"
Ag 3.198 0.000 3.629
Ag 0.006 0.000 10.621
Cu 0.499 0.000 2.380
Ag 4.747 0.000 0.000
Ag 1.583 0.000 7.141
Ag 7.316 0.000 1.260
Ag 5.738 0.000 4.741
Cu 6.822 0.000 9.501
Ag 4.123 0.000 8.252
Cu -1.087 0.000 5.941
```

Summary:
The energy above the lowest structure with this stoichiometry comes out at 51 meV per atom. For the formation energy, the calculation gives 0.80 eV/f.u. As for the space group: C2/m.

Entry 8:
# Cu3Ag4

Crystalline Cu3Ag4 at its relaxed geometry (PBE-GGA, the Open Quantum Materials Database).

The structure in extended XYZ format:
```
7
Lattice="4.659 -1.419 0.000 4.659 1.419 0.000 -0.522 0.000 8.176" Properties=species:S:1:pos:R:3 pbc="T T T"
Ag 0.983 0.000 4.615
Ag 7.813 0.000 3.560
Cu 3.646 0.000 5.986
Cu 0.000 0.000 0.000
Ag 6.200 0.000 6.996
Ag 2.596 0.000 1.180
Cu 5.151 0.000 2.189
```

Summary:
The energy above the lowest structure with this stoichiometry comes out at 61 meV per atom. For the formation energy, the calculation gives 0.72 eV/f.u. As for the space group: C2/m.

Entry 9:
# Cu3Ag7

Crystalline Cu3Ag7 at its relaxed geometry (PBE-GGA, the Open Quantum Materials Database).

The structure in extended XYZ format:
```
10
Lattice="4.509 -2.004 0.000 4.509 2.004 0.000 -0.069 0.000 9.009" Properties=species:S:1:pos:R:3 pbc="T T T"
Ag 0.862 0.000 2.710
Ag 8.118 0.000 6.358
Cu -0.034 0.000 8.942
Ag 3.608 0.000 1.780
Cu 4.479 0.000 4.569
Ag 2.653 0.000 8.089
Ag 1.730 0.000 5.437
Ag 7.191 0.000 3.654
Cu 5.315 0.000 7.210
Ag 6.277 0.000 0.799
```

Summary:
The energy above the lowest structure with this stoichiometry comes out at 50 meV per atom. For the formation energy, the calculation gives 0.79 eV/f.u. As for the space group: Cm.

Entry 10:
# CuAg

Crystalline CuAg at its relaxed geometry (PBE-GGA, the Open Quantum Materials Database).

The structure in extended XYZ format:
```
10
Lattice="-3.733 5.190 -3.633 -3.373 3.293 -5.643 -5.335 -4.431 3.224" Properties=species:S:1:pos:R:3 pbc="T T T"
Ag -6.668 0.310 -1.488
Cu -2.565 -2.115 1.535
Ag -7.847 5.050 -6.170
Cu -5.871 3.665 -4.510
Ag -1.906 1.135 -1.412
Cu -7.229 8.367 -9.189
Cu -4.009 2.558 -3.132
Ag -8.422 1.637 -3.054
Cu -4.475 -0.910 0.057
Ag -10.546 2.775 -4.508
```

Summary:
For the formation energy, the calculation gives 0.19 eV/f.u. As for the space group: Cm.

Entry 11:
# Cu4Ag5

Crystalline Cu4Ag5 at its relaxed geometry (PBE-GGA, the Open Quantum Materials Database).

The structure in extended XYZ format:
```
9
Lattice="-1.427 1.837 13.112 1.427 -1.837 13.112 1.427 1.837 -13.112" Properties=species:S:1:pos:R:3 pbc="T T T"
Ag 0.000 0.000 20.447
Cu 0.000 0.000 14.516
Ag 0.000 0.000 2.821
Cu 0.000 0.000 0.163
Cu 0.000 0.000 17.350
Ag 0.000 0.000 5.673
Ag 0.000 0.000 11.857
Cu 0.000 0.000 8.763
Ag 0.000 0.000 23.306
```

Summary:
The energy above the lowest structure with this stoichiometry comes out at 53 meV per atom. For the formation energy, the calculation gives 0.82 eV/f.u. As for the space group: Imm2.

Entry 12:
# CuAg

Crystalline CuAg at its relaxed geometry (PBE-GGA, the Open Quantum Materials Database).

The structure in extended XYZ format:
```
10
Lattice="-1.508 -3.539 -2.946 0.350 -4.695 -1.148 -8.246 -0.765 8.032" Properties=species:S:1:pos:R:3 pbc="T T T"
Cu -8.080 -0.825 7.822
Ag -2.271 -5.088 -0.921
Ag -4.730 -4.436 2.039
Cu -8.237 -6.489 4.345
Cu -6.012 -7.037 1.693
Ag -3.563 -1.986 2.407
Cu -3.487 -7.647 -1.309
Ag -5.998 -1.313 5.356
Ag -1.082 -2.632 -0.572
Cu -7.104 -3.809 4.895
```

Summary:
For the formation energy, the calculation gives 0.19 eV/f.u. As for the space group: Cm.